1.
{"formula": "LaZrRh", "functional": "PBE", "state": "optimized geometry", "dos_ef_per_ev_atom": 1.51, "magmom_total_mub_per_atom": 0.17, "lattice": [[-5.3233, 3.6589, -1.1399], [-5.5239, 2.7905, 2.1719], [0.8962, 3.1890, 0.8885]], "species": ["La", "Rh", "Zr"], "frac_coords": [[0.9884, 0.9884, 0.0116], [0.3071, 0.3071, 0.6929], [0.7045, 0.7045, 0.2955]]}


2.
{"formula": "LaZrRh", "functional": "PBE", "state": "optimized geometry", "dos_ef_per_ev_atom": 0.95, "magmom_total_mub_per_atom": 0.00, "lattice": [[4.7321, 0.0000, 0.0000], [0.0000, 4.7321, 0.0000], [0.0000, 0.0000, 6.7050]], "species": ["La", "Zr", "Rh", "Rh", "La", "Zr"], "frac_coords": [[0.5000, 0.0000, 0.1208], [0.0000, 0.0000, 0.5000], [0.0000, 0.5000, 0.3048], [0.5000, 0.0000, 0.6952], [0.0000, 0.5000, 0.8792], [0.5000, 0.5000, 0.5000]]}


3.
{"formula": "LaZrRh", "functional": "PBE", "state": "optimized geometry", "dos_ef_per_ev_atom": 1.46, "magmom_total_mub_per_atom": 0.00, "lattice": [[4.7969, 0.0000, 0.0000], [2.3984, 4.1542, 0.0000], [2.3984, 1.3847, 3.9166]], "species": ["Rh", "La", "Zr"], "frac_coords": [[0.7500, 0.7500, 0.7500], [0.5000, 0.5000, 0.5000], [0.0000, 0.0000, 0.0000]]}


4.
{"formula": "LaZrRh", "functional": "PBE", "state": "optimized geometry", "dos_ef_per_ev_atom": 1.26, "magmom_total_mub_per_atom": 0.00, "lattice": [[-1.5550, -4.3353, 0.6900], [2.0084, -3.5736, -2.2103], [2.5902, -3.0515, 2.3808]], "species": ["Zr", "La", "Rh"], "frac_coords": [[0.5000, 0.5000, 0.5000], [0.7500, 0.7500, 0.7500], [0.0000, 0.0000, 0.0000]]}


Of them, the most stable is 2 and the least stable is 4.


1.
{"formula": "LaZr2Rh", "functional": "PBE", "state": "optimized geometry", "dos_ef_per_ev_atom": 0.95, "magmom_total_mub_per_atom": 0.00, "lattice": [[4.7373, 0.0000, 0.0000], [0.0000, 3.3554, -0.0026], [0.0000, 1.6318, 5.7106]], "species": ["Zr", "Rh", "Zr", "La"], "frac_coords": [[0.0000, 0.9472, 0.9699], [0.5000, 0.7500, 0.7500], [0.0000, 0.5528, 0.5301], [0.5000, 0.2500, 0.2500]]}


2.
{"formula": "LaZr2Rh", "functional": "PBE", "state": "optimized geometry", "dos_ef_per_ev_atom": 0.72, "magmom_total_mub_per_atom": 0.00, "lattice": [[8.0865, 0.0000, 0.0000], [0.0000, 8.0865, 0.0000], [4.0432, 4.0432, 3.0807]], "species": ["La", "Zr", "Rh", "Rh", "Zr", "Zr", "Zr", "La"], "frac_coords": [[0.0000, 0.0000, 0.0000], [0.3750, 0.4391, 0.7500], [0.2500, 0.7500, 0.5000], [0.5000, 0.5000, 0.0000], [0.8750, 0.8109, 0.7500], [0.1891, 0.6250, 0.2500], [0.5609, 0.1250, 0.2500], [0.7500, 0.2500, 0.5000]]}


Of them, the most stable is 1 and the least stable is 2.


1.
{"formula": "LaZr2Rh", "functional": "PBE", "state": "optimized geometry", "dos_ef_per_ev_atom": 1.68, "magmom_total_mub_per_atom": 0.28, "lattice": [[-3.3849, -3.3933, -1.4740], [-0.0585, -1.5796, -4.7588], [1.4506, -4.6700, -1.1097]], "species": ["La", "Rh", "Zr", "Zr"], "frac_coords": [[0.5000, 0.5000, 0.5000], [0.2500, 0.2500, 0.2500], [0.0000, 0.0000, 0.0000], [0.7500, 0.7500, 0.7500]]}


2.
{"formula": "LaZr2Rh", "functional": "PBE", "state": "optimized geometry", "dos_ef_per_ev_atom": 0.96, "magmom_total_mub_per_atom": 0.00, "lattice": [[5.9385, 0.1092, 0.1531], [4.9089, 3.3438, 0.1531], [2.3145, 0.7367, 4.9920]], "species": ["Rh", "La", "Zr", "Zr"], "frac_coords": [[0.2611, 0.2611, 0.1204], [0.5447, 0.5447, 0.5115], [0.7428, 0.7428, 0.7617], [0.9514, 0.9514, 0.1064]]}


3.
{"formula": "LaZr2Rh", "functional": "PBE", "state": "optimized geometry", "dos_ef_per_ev_atom": 1.23, "magmom_total_mub_per_atom": 0.00, "lattice": [[3.3238, 0.0000, 0.0000], [0.0000, 3.3238, 0.0000], [0.0000, 0.0000, 8.5528]], "species": ["Zr", "Rh", "La", "Zr"], "frac_coords": [[0.0000, 0.0000, 0.9632], [0.5000, 0.5000, 0.7915], [0.0000, 0.0000, 0.5395], [0.5000, 0.5000, 0.2058]]}


4.
{"formula": "LaZr2Rh", "functional": "PBE", "state": "optimized geometry", "dos_ef_per_ev_atom": 1.10, "magmom_total_mub_per_atom": 0.00, "lattice": [[-2.0562, 5.7861, -1.1325], [-2.7322, 4.0597, -3.8786], [-5.1537, 0.7211, 0.8152]], "species": ["La", "Zr", "Zr", "Rh"], "frac_coords": [[0.7500, 0.7500, 0.7500], [0.5406, 0.5406, 0.4591], [0.9594, 0.9594, 0.0409], [0.2500, 0.2500, 0.2500]]}


Of them, the most stable is 3 and the least stable is 1.


1.
{"formula": "LaZr2Rh", "functional": "PBE", "state": "optimized geometry", "dos_ef_per_ev_atom": 1.16, "magmom_total_mub_per_atom": 0.00, "lattice": [[5.0446, 0.0082, 0.0000], [-0.0092, 5.0445, 0.0000], [0.0000, 0.0000, 3.3492]], "species": ["Zr", "Rh", "Zr", "La"], "frac_coords": [[0.5000, 0.5000, 0.0000], [0.0000, 0.5000, 0.5000], [0.0000, 0.0000, 0.0000], [0.5000, 0.0000, 0.5000]]}


2.
{"formula": "LaZr2Rh", "functional": "PBE", "state": "optimized geometry", "dos_ef_per_ev_atom": 1.48, "magmom_total_mub_per_atom": 0.00, "lattice": [[5.4825, 0.0000, 0.0000], [0.0000, 4.1084, 0.0000], [0.0000, 0.0000, 4.1084]], "species": ["Zr", "Zr", "Rh", "La"], "frac_coords": [[0.0000, 0.5000, 0.5000], [0.0000, 0.0000, 0.0000], [0.5000, 0.0000, 0.5000], [0.5000, 0.5000, 0.0000]]}


3.
{"formula": "LaZr2Rh", "functional": "PBE", "state": "optimized geometry", "dos_ef_per_ev_atom": 0.91, "magmom_total_mub_per_atom": 0.00, "lattice": [[3.3731, 0.0000, 0.0000], [0.0000, 3.3734, 0.0000], [0.0000, 0.0000, 8.0428]], "species": ["Zr", "Zr", "Rh", "La"], "frac_coords": [[0.0000, 0.0000, 0.5560], [0.0000, 0.0000, 0.9440], [0.5000, 0.5000, 0.7500], [0.5000, 0.5000, 0.2500]]}


4.
{"formula": "LaZr2Rh", "functional": "PBE", "state": "optimized geometry", "dos_ef_per_ev_atom": 0.94, "magmom_total_mub_per_atom": 0.00, "lattice": [[6.1578, 0.0078, 0.0000], [3.3980, 5.1354, 0.0000], [-4.7779, -2.5716, 2.9116]], "species": ["Zr", "La", "Zr", "Rh"], "frac_coords": [[0.0000, 0.0000, 0.0000], [0.2500, 0.7500, 0.5000], [0.5000, 0.5000, 0.0000], [0.7500, 0.2500, 0.5000]]}


Of them, the most stable is 3 and the least stable is 1.


1.
{"formula": "LaZr2Rh", "functional": "PBE", "state": "optimized geometry", "dos_ef_per_ev_atom": 0.87, "magmom_total_mub_per_atom": 0.00, "lattice": [[0.6856, 0.0918, 4.8621], [-0.4825, 4.2180, 2.4686], [-3.8259, 0.6613, 3.0072]], "species": ["La", "Rh", "Zr", "Zr"], "frac_coords": [[0.5000, 0.5000, 0.5000], [0.0000, 0.0000, 0.0000], [0.7500, 0.7500, 0.7500], [0.2500, 0.2500, 0.2500]]}


2.
{"formula": "LaZr2Rh", "functional": "PBE", "state": "optimized geometry", "dos_ef_per_ev_atom": 1.44, "magmom_total_mub_per_atom": 0.00, "lattice": [[-2.1558, 4.9601, -2.1374], [-2.9734, -4.9815, -0.4017], [-2.2981, 0.5722, 2.1948]], "species": ["Rh", "La", "Zr", "Zr"], "frac_coords": [[0.0000, 0.5000, 0.5000], [0.5000, 0.0000, 0.5000], [0.5000, 0.5000, 0.0000], [0.0000, 0.0000, 0.0000]]}


3.
{"formula": "LaZr2Rh", "functional": "PBE", "state": "optimized geometry", "dos_ef_per_ev_atom": 1.43, "magmom_total_mub_per_atom": 0.00, "lattice": [[-9.4656, -0.1755, 0.8425], [-9.0400, -2.1096, -2.0411], [-8.7317, -3.5848, 1.1157]], "species": ["Zr", "Zr", "Rh", "La"], "frac_coords": [[0.0201, 0.0201, 0.0201], [0.4799, 0.4799, 0.4799], [0.7500, 0.7500, 0.7500], [0.2500, 0.2500, 0.2500]]}


Of them, the most stable is 1 and the least stable is 2.


1.
{"formula": "La3ZrRh", "functional": "PBE", "state": "optimized geometry", "dos_ef_per_ev_atom": 0.90, "magmom_total_mub_per_atom": 0.00, "lattice": [[5.5312, 0.0000, 0.0000], [0.0000, 5.5312, 0.0000], [0.0000, 0.0000, 5.5312]], "species": ["Rh", "La", "La", "La", "Zr"], "frac_coords": [[0.5000, 0.5000, 0.5000], [0.0000, 0.0000, 0.5000], [0.5000, 0.0000, 0.0000], [0.0000, 0.5000, 0.0000], [0.0000, 0.0000, 0.0000]]}


2.
{"formula": "La3ZrRh", "functional": "PBE", "state": "optimized geometry", "dos_ef_per_ev_atom": 1.30, "magmom_total_mub_per_atom": 0.56, "lattice": [[-1.6532, -1.1915, -5.1721], [-1.3060, -5.1593, 1.6060], [-5.1444, 1.6927, 1.2544]], "species": ["La", "La", "Rh", "Zr", "La"], "frac_coords": [[0.0000, 0.5000, 0.0000], [0.5000, 0.0000, 0.0000], [0.0000, 0.0000, 0.0000], [0.5000, 0.5000, 0.5000], [0.0000, 0.0000, 0.5000]]}


Of them, the most stable is 2 and the least stable is 1.


1.
{"formula": "La3Ru5", "functional": "PBE", "state": "optimized geometry", "dos_ef_per_ev_atom": 1.04, "magmom_total_mub_per_atom": 0.00, "lattice": [[0.0974, 2.4070, -5.4834], [-3.6417, -4.7148, -0.6162], [-3.5104, 2.5720, 1.0667]], "species": ["La", "Ru", "La", "Ru", "Ru", "Ru", "Ru", "La"], "frac_coords": [[0.5000, 0.5000, 0.0000], [0.5000, 0.0000, 0.0000], [0.2097, 0.7903, 0.5000], [0.0000, 0.0000, 0.0000], [0.0000, 0.5000, 0.0000], [0.2783, 0.2783, 0.5000], [0.7217, 0.7217, 0.5000], [0.7903, 0.2097, 0.5000]]}


2.
{"formula": "La3Ru5", "functional": "PBE", "state": "optimized geometry", "dos_ef_per_ev_atom": 1.03, "magmom_total_mub_per_atom": 0.00, "lattice": [[8.3543, -0.8931, 1.6041], [-6.9249, 5.8535, -1.2376], [0.7063, -2.4432, 8.1681]], "species": ["La", "Ru", "Ru", "Ru", "Ru", "La", "Ru", "Ru", "La", "Ru", "La", "Ru", "Ru", "Ru", "La", "La"], "frac_coords": [[0.2861, 0.2006, 0.5811], [0.0807, 0.3101, 0.3035], [0.5063, 0.8104, 0.2290], [0.2659, 0.7501, 0.5165], [0.8274, 0.5414, 0.3623], [0.8807, 0.3000, 0.0861], [0.3210, 0.9593, 0.2862], [0.1717, 0.4586, 0.6377], [0.1184, 0.7000, 0.9139], [0.9185, 0.6899, 0.6964], [0.7131, 0.7994, 0.4190], [0.6782, 0.0407, 0.7138], [0.7332, 0.2499, 0.4835], [0.4928, 0.1896, 0.7710], [0.3488, 0.2500, 0.0988], [0.6504, 0.7500, 0.9012]]}


3.
{"formula": "La3Ru5", "functional": "PBE", "state": "optimized geometry", "dos_ef_per_ev_atom": 1.59, "magmom_total_mub_per_atom": 0.00, "lattice": [[10.7640, -0.0594, 0.0000], [5.4158, 6.4445, 0.0000], [0.0000, 0.0000, 4.8749]], "species": ["La", "Ru", "Ru", "Ru", "Ru", "La", "La", "Ru", "La", "Ru", "Ru", "Ru", "La", "Ru", "Ru", "La"], "frac_coords": [[0.9458, 0.6474, 0.7500], [0.2951, 0.4098, 0.5001], [0.1911, 0.7844, 0.7500], [0.8086, 0.2158, 0.2500], [0.8862, 0.0024, 0.7500], [0.6456, 0.9999, 0.2500], [0.0545, 0.3529, 0.2500], [0.7053, 0.5894, 0.0001], [0.4075, 0.6469, 0.2500], [0.0247, 0.7819, 0.2500], [0.2951, 0.4098, 0.9999], [0.1134, 0.9984, 0.2500], [0.3544, 0.9999, 0.7500], [0.7053, 0.5894, 0.4999], [0.9755, 0.2183, 0.7500], [0.5920, 0.3533, 0.7500]]}


Of them, the most stable is 2 and the least stable is 1.


1.
{"formula": "La3Ru2", "functional": "PBE", "state": "optimized geometry", "dos_ef_per_ev_atom": 0.90, "magmom_total_mub_per_atom": 0.00, "lattice": [[-3.6243, 7.7595, 5.2254], [-1.1922, 5.8963, 8.0288], [0.4570, 8.5250, 5.2692]], "species": ["La", "Ru", "La", "La", "Ru"], "frac_coords": [[0.0000, 0.0000, 0.0000], [0.3953, 0.3953, 0.3953], [0.2254, 0.2254, 0.2254], [0.7746, 0.7746, 0.7746], [0.6047, 0.6047, 0.6047]]}


2.
{"formula": "La3Ru2", "functional": "PBE", "state": "optimized geometry", "dos_ef_per_ev_atom": 0.50, "magmom_total_mub_per_atom": 0.00, "lattice": [[-4.5077, -1.2639, 1.6193], [-3.5373, -1.2407, -3.2384], [1.7909, -5.9656, 0.3293]], "species": ["Ru", "Ru", "La", "La", "La"], "frac_coords": [[0.3333, 0.3333, 0.1822], [0.6667, 0.6667, 0.8178], [0.3333, 0.3333, 0.6641], [0.6667, 0.6667, 0.3359], [0.0000, 0.0000, 0.0000]]}


3.
{"formula": "La3Ru2", "functional": "PBE", "state": "optimized geometry", "dos_ef_per_ev_atom": 0.88, "magmom_total_mub_per_atom": 0.00, "lattice": [[4.2860, 0.0000, 0.0000], [-2.1430, 8.4573, 0.7123], [0.0000, 1.2875, 11.5127]], "species": ["La", "Ru", "La", "La", "La", "Ru", "Ru", "La", "Ru", "La", "La", "Ru", "La", "Ru", "La"], "frac_coords": [[0.4576, 0.9152, 0.3307], [0.7242, 0.4484, 0.5544], [0.8739, 0.7477, 0.6045], [0.8386, 0.6772, 0.9330], [0.5424, 0.0848, 0.6693], [0.2758, 0.5516, 0.4456], [0.0056, 0.0111, 0.8157], [0.1614, 0.3228, 0.0670], [0.3754, 0.7508, 0.7904], [0.7966, 0.5933, 0.2620], [0.2034, 0.4067, 0.7380], [0.9944, 0.9889, 0.1843], [0.5000, 0.0000, 0.0000], [0.6246, 0.2492, 0.2096], [0.1261, 0.2523, 0.3955]]}


Of them, the most stable is 3 and the least stable is 1.